# 1
# ErSc2Ni (PBE, optimized geometry)
# Energy of formation, eV per atom: -0.24
# Mass density, g cm⁻³: 5.96
# Uncorrected energy, eV/atom: -5.99
data_ErSc2Ni
_chemical_formula_sum 'Er2 Sc4 Ni2'
_symmetry_space_group_name_H-M 'P 1'
_symmetry_Int_Tables_number 1
_cell_length_a 4.5153
_cell_length_b 5.9357
_cell_length_c 7.1077
_cell_angle_alpha 90.00
_cell_angle_beta 90.00
_cell_angle_gamma 112.40
loop_
_symmetry_equiv_pos_as_xyz
'x,y,z'
loop_
_atom_site_label
_atom_site_type_symbol
_atom_site_fract_x
_atom_site_fract_y
_atom_site_fract_z
Er1 Er 0.9521 0.9043 0.2500
Er2 Er 0.0479 0.0957 0.7500
Sc1 Sc 0.3437 0.6873 0.5386
Sc2 Sc 0.6563 0.3127 0.4614
Sc3 Sc 0.3437 0.6873 0.9614
Sc4 Sc 0.6563 0.3127 0.0386
Ni1 Ni 0.8006 0.6022 0.7500
Ni2 Ni 0.1994 0.3978 0.2500

---

# 2
# Tb6Pm12Zr (PBE, optimized geometry)
# Energy of formation, eV per atom: 0.03
# Mass density, g cm⁻³: 7.41
# Uncorrected energy, eV/atom: -4.88
data_Tb6Pm12Zr
_chemical_formula_sum 'Tb6 Pm12 Zr1'
_symmetry_space_group_name_H-M 'P 1'
_symmetry_Int_Tables_number 1
_cell_length_a 9.5109
_cell_length_b 9.5109
_cell_length_c 9.5109
_cell_angle_alpha 110.92
_cell_angle_beta 110.92
_cell_angle_gamma 110.92
loop_
_symmetry_equiv_pos_as_xyz
'x,y,z'
loop_
_atom_site_label
_atom_site_type_symbol
_atom_site_fract_x
_atom_site_fract_y
_atom_site_fract_z
Tb1 Tb 0.2087 0.3107 0.4640
Tb2 Tb 0.6893 0.5360 0.7913
Tb3 Tb 0.5360 0.7913 0.6893
Tb4 Tb 0.7913 0.6893 0.5360
Tb5 Tb 0.3107 0.4640 0.2087
Tb6 Tb 0.4640 0.2087 0.3107
Pm1 Pm 0.3730 0.0566 0.5831
Pm2 Pm 0.0566 0.5831 0.3730
Pm3 Pm 0.5831 0.3730 0.0566
Pm4 Pm 0.6270 0.9434 0.4169
Pm5 Pm 0.9434 0.4169 0.6270
Pm6 Pm 0.4169 0.6270 0.9434
Pm7 Pm 0.1026 0.1540 0.7418
Pm8 Pm 0.2582 0.8974 0.8460
Pm9 Pm 0.8460 0.2582 0.8974
Pm10 Pm 0.8974 0.8460 0.2582
Pm11 Pm 0.7418 0.1026 0.1540
Pm12 Pm 0.1540 0.7418 0.1026
Zr1 Zr 0.0000 0.0000 0.0000

---

# 3
# NaCd2Ag9 (PBE, optimized geometry)
# Energy of formation, eV per atom: 0.03
# Mass density, g cm⁻³: 8.14
# Uncorrected energy, eV/atom: -2.37
data_NaCd2Ag9
_chemical_formula_sum 'Na1 Cd2 Ag9'
_symmetry_space_group_name_H-M 'P 1'
_symmetry_Int_Tables_number 1
_cell_length_a 5.6060
_cell_length_b 5.6060
_cell_length_c 9.6931
_cell_angle_alpha 73.19
_cell_angle_beta 73.19
_cell_angle_gamma 60.00
loop_
_symmetry_equiv_pos_as_xyz
'x,y,z'
loop_
_atom_site_label
_atom_site_type_symbol
_atom_site_fract_x
_atom_site_fract_y
_atom_site_fract_z
Na1 Na 0.0000 0.0000 0.0000
Cd1 Cd 0.8564 0.8564 0.4307
Cd2 Cd 0.1436 0.1436 0.5693
Ag1 Ag 0.6664 0.6664 0.0008
Ag2 Ag 0.3336 0.3336 0.9992
Ag3 Ag 0.5000 0.5000 0.5000
Ag4 Ag 0.4122 0.4122 0.2571
Ag5 Ag 0.9186 0.4122 0.2571
Ag6 Ag 0.4122 0.9186 0.2571
Ag7 Ag 0.5878 0.5878 0.7429
Ag8 Ag 0.5878 0.0814 0.7429
Ag9 Ag 0.0814 0.5878 0.7429

---

Copy entry 3 word for word.
# NaCd2Ag9 (PBE, optimized geometry)
# Energy of formation, eV per atom: 0.03
# Mass density, g cm⁻³: 8.14
# Uncorrected energy, eV/atom: -2.37
data_NaCd2Ag9
_chemical_formula_sum 'Na1 Cd2 Ag9'
_symmetry_space_group_name_H-M 'P 1'
_symmetry_Int_Tables_number 1
_cell_length_a 5.6060
_cell_length_b 5.6060
_cell_length_c 9.6931
_cell_angle_alpha 73.19
_cell_angle_beta 73.19
_cell_angle_gamma 60.00
loop_
_symmetry_equiv_pos_as_xyz
'x,y,z'
loop_
_atom_site_label
_atom_site_type_symbol
_atom_site_fract_x
_atom_site_fract_y
_atom_site_fract_z
Na1 Na 0.0000 0.0000 0.0000
Cd1 Cd 0.8564 0.8564 0.4307
Cd2 Cd 0.1436 0.1436 0.5693
Ag1 Ag 0.6664 0.6664 0.0008
Ag2 Ag 0.3336 0.3336 0.9992
Ag3 Ag 0.5000 0.5000 0.5000
Ag4 Ag 0.4122 0.4122 0.2571
Ag5 Ag 0.9186 0.4122 0.2571
Ag6 Ag 0.4122 0.9186 0.2571
Ag7 Ag 0.5878 0.5878 0.7429
Ag8 Ag 0.5878 0.0814 0.7429
Ag9 Ag 0.0814 0.5878 0.7429

---

Repeat the first record exactly.
# ErSc2Ni (PBE, optimized geometry)
# Energy of formation, eV per atom: -0.24
# Mass density, g cm⁻³: 5.96
# Uncorrected energy, eV/atom: -5.99
data_ErSc2Ni
_chemical_formula_sum 'Er2 Sc4 Ni2'
_symmetry_space_group_name_H-M 'P 1'
_symmetry_Int_Tables_number 1
_cell_length_a 4.5153
_cell_length_b 5.9357
_cell_length_c 7.1077
_cell_angle_alpha 90.00
_cell_angle_beta 90.00
_cell_angle_gamma 112.40
loop_
_symmetry_equiv_pos_as_xyz
'x,y,z'
loop_
_atom_site_label
_atom_site_type_symbol
_atom_site_fract_x
_atom_site_fract_y
_atom_site_fract_z
Er1 Er 0.9521 0.9043 0.2500
Er2 Er 0.0479 0.0957 0.7500
Sc1 Sc 0.3437 0.6873 0.5386
Sc2 Sc 0.6563 0.3127 0.4614
Sc3 Sc 0.3437 0.6873 0.9614
Sc4 Sc 0.6563 0.3127 0.0386
Ni1 Ni 0.8006 0.6022 0.7500
Ni2 Ni 0.1994 0.3978 0.2500

---

Q: Which of these has the highest mass density?
A: NaCd2Ag9

---

Copy entry 3 word for word.
# NaCd2Ag9 (PBE, optimized geometry)
# Energy of formation, eV per atom: 0.03
# Mass density, g cm⁻³: 8.14
# Uncorrected energy, eV/atom: -2.37
data_NaCd2Ag9
_chemical_formula_sum 'Na1 Cd2 Ag9'
_symmetry_space_group_name_H-M 'P 1'
_symmetry_Int_Tables_number 1
_cell_length_a 5.6060
_cell_length_b 5.6060
_cell_length_c 9.6931
_cell_angle_alpha 73.19
_cell_angle_beta 73.19
_cell_angle_gamma 60.00
loop_
_symmetry_equiv_pos_as_xyz
'x,y,z'
loop_
_atom_site_label
_atom_site_type_symbol
_atom_site_fract_x
_atom_site_fract_y
_atom_site_fract_z
Na1 Na 0.0000 0.0000 0.0000
Cd1 Cd 0.8564 0.8564 0.4307
Cd2 Cd 0.1436 0.1436 0.5693
Ag1 Ag 0.6664 0.6664 0.0008
Ag2 Ag 0.3336 0.3336 0.9992
Ag3 Ag 0.5000 0.5000 0.5000
Ag4 Ag 0.4122 0.4122 0.2571
Ag5 Ag 0.9186 0.4122 0.2571
Ag6 Ag 0.4122 0.9186 0.2571
Ag7 Ag 0.5878 0.5878 0.7429
Ag8 Ag 0.5878 0.0814 0.7429
Ag9 Ag 0.0814 0.5878 0.7429